Material: K4Ho3TlO8
Method: DFT, PBE
State: relaxed

Lattice parameters (Å, degrees): 6.9314 7.4401 6.9314 117.76 120.00 90.00
With the nearest neighbours (Å) after each atom.
Atoms (fractional coordinates):
K (0.5000, 0.0000, 0.0000)  6 O 2.74
K (0.0000, 0.0000, 0.0000)  6 O 2.80-2.82
K (0.5000, 0.0000, 0.5000)  6 O 2.80-2.82
K (0.0000, 0.0000, 0.5000)  6 O 2.80-2.82
O (0.2726, 0.3177, 0.5452)  3 Ho 2.30
O (0.2784, 0.3081, 0.0433)  2 Ho 2.31, 1 Tl 2.38
O (0.7649, 0.3081, 0.0433)  2 Ho 2.31, 1 Tl 2.38
O (0.2351, 0.6919, 0.9567)  2 Ho 2.31, 1 Tl 2.38
O (0.7216, 0.6919, 0.9567)  2 Ho 2.31, 1 Tl 2.38
O (0.2351, 0.6919, 0.4703)  2 Ho 2.31, 1 Tl 2.38
O (0.7274, 0.6823, 0.4548)  3 Ho 2.30
O (0.7649, 0.3081, 0.5297)  2 Ho 2.31, 1 Tl 2.38
Ho (0.5000, 0.5000, 0.0000)  6 O 2.30-2.31
Ho (0.0000, 0.5000, 0.5000)  6 O 2.30-2.31
Ho (0.5000, 0.5000, 0.5000)  6 O 2.30-2.31
Tl (0.0000, 0.5000, 0.0000)  6 O 2.38

Calculated values
- space group = No. 166
- crystal system = trigonal
- ΔE_f (raw) (meV/atom) = -2332